# 1
VASP calculation (GGA-PBE) on crystalline Cs2TcNiBr6 at its relaxed geometry.

Lattice parameters (Å, degrees): 7.529 7.529 7.529 60.00 60.00 60.00
Positions (direct):
Cs  0.250  0.250  0.250
Cs  0.750  0.750  0.750
Tc  0.000  0.000  0.000
Ni  0.500  0.500  0.500
Br  0.253  0.253  0.747
Br  0.253  0.747  0.253
Br  0.253  0.747  0.747
Br  0.747  0.253  0.253
Br  0.747  0.253  0.747
Br  0.747  0.747  0.253

Summary:
DFT total energy: -3.5788 eV per atom
Calculated density: 4.96 g/cm3
Total moment: 0.299 μB per atom

# 2
VASP calculation (GGA-PBE) on crystalline Cs2TlNiBr6 at its relaxed geometry.

Lattice parameters (Å, degrees): 7.831 7.831 7.831 60.00 60.00 60.00
Positions (direct):
Cs  0.250  0.250  0.250
Cs  0.750  0.750  0.750
Tl  0.000  0.000  0.000
Ni  0.500  0.500  0.500
Br  0.273  0.273  0.727
Br  0.273  0.727  0.273
Br  0.273  0.727  0.727
Br  0.727  0.273  0.273
Br  0.727  0.273  0.727
Br  0.727  0.727  0.273

Summary:
DFT total energy: -2.9859 eV per atom
Calculated density: 4.93 g/cm3
Total moment: 0.100 μB per atom

# 3
VASP calculation (GGA-PBE) on crystalline Cs2NpBr6 at its relaxed geometry.

Lattice parameters (Å, degrees): 8.010 8.010 8.010 60.00 60.00 60.00
Positions (direct):
Cs  0.250  0.250  0.250
Cs  0.750  0.750  0.750
Np  0.000  0.000  0.000
Br  0.245  0.245  0.755
Br  0.245  0.755  0.245
Br  0.245  0.755  0.755
Br  0.755  0.245  0.245
Br  0.755  0.245  0.755
Br  0.755  0.755  0.245

Summary:
DFT total energy: -4.3181 eV per atom
Calculated density: 4.49 g/cm3
Total moment: 0.333 μB per atom

# 4
VASP calculation (GGA-PBE) on crystalline Cs2NpBr6 at its relaxed geometry.

Lattice parameters (Å, degrees): 7.998 7.998 7.998 118.79 118.79 92.12
Positions (direct):
Cs  0.250  0.750  0.500
Cs  0.750  0.250  0.500
Np  0.000  0.000  0.000
Br  0.241  0.241  0.483
Br  0.241  0.759  0.000
Br  0.250  0.250  0.000
Br  0.750  0.750  0.000
Br  0.759  0.241  0.000
Br  0.759  0.759  0.517

Summary:
DFT total energy: -4.3181 eV per atom
Calculated density: 4.43 g/cm3
Total moment: 0.333 μB per atom

# 5
VASP calculation (GGA-PBE) on crystalline Cs3NpBr6 at its relaxed geometry.

Lattice parameters (Å, degrees): 8.501 8.501 8.943 117.77 117.77 60.81
Positions (direct):
Cs  0.000  0.000  0.000
Cs  0.242  0.242  0.723
Cs  0.758  0.758  0.277
Np  0.500  0.500  0.500
Br  0.196  0.665  0.650
Br  0.288  0.288  0.171
Br  0.335  0.804  0.350
Br  0.665  0.196  0.650
Br  0.712  0.712  0.829
Br  0.804  0.335  0.350

Summary:
DFT total energy: -4.1896 eV per atom
Calculated density: 3.90 g/cm3
Total moment: 0.400 μB per atom

# 6
VASP calculation (GGA-PBE) on crystalline CsPaBr6 at its relaxed geometry.

Lattice parameters (Å, degrees): 8.353 8.353 8.353 55.15 55.15 55.15
Positions (direct):
Cs  0.000  0.000  0.000
Pa  0.500  0.500  0.500
Br  0.095  0.591  0.591
Br  0.409  0.409  0.905
Br  0.409  0.905  0.409
Br  0.591  0.095  0.591
Br  0.591  0.591  0.095
Br  0.905  0.409  0.409

Summary:
DFT total energy: -4.1175 eV per atom
Calculated density: 3.83 g/cm3
Total moment: 0.002 μB per atom